<i>
Sc2CrW: relaxed, PBE.

* magnetization: 1.1 μB per formula unit

Unit cell a=3.382 b=4.527 c=9.093 alpha=90.00 beta=90.00 gamma=90.00
Sites, in units of the cell vectors:
Sc (0.000, 0.000, 0.235)
Sc (0.000, 0.000, 0.765)
Sc (0.500, 0.500, 0.235)
Sc (0.500, 0.500, 0.765)
Cr (0.000, 0.500, 0.000)
Cr (0.500, 0.000, 0.000)
W (0.000, 0.500, 0.500)
W (0.500, 0.000, 0.500)

---

<ii>
Sc2CrW: relaxed, PBE.

* magnetization: 0.0 μB per formula unit

Unit cell a=2.768 b=2.768 c=9.124 alpha=90.00 beta=90.00 gamma=90.00
Sites, in units of the cell vectors:
Sc (0.000, 0.000, 0.238)
Sc (0.000, 0.000, 0.762)
Cr (0.500, 0.500, 0.000)
W (0.500, 0.500, 0.500)

---

Computed relative energies in units of eV/atom: <i> 0.000; <ii> 0.039

---

<i>
Sc3CrW: relaxed, PBE.

* magnetization: 4.4 μB per formula unit

Unit cell a=5.068 b=5.068 c=5.068 alpha=90.00 beta=90.00 gamma=90.00
Sites, in units of the cell vectors:
Sc (0.000, 0.000, 0.500)
Sc (0.000, 0.500, 0.000)
Sc (0.500, 0.000, 0.000)
Cr (0.500, 0.500, 0.500)
W (0.000, 0.000, 0.000)

---

<ii>
Sc3CrW: relaxed, PBE.

* magnetization: 0.0 μB per formula unit

Unit cell a=4.669 b=4.669 c=4.669 alpha=90.00 beta=90.00 gamma=90.00
Sites, in units of the cell vectors:
Sc (0.000, 0.000, 0.500)
Sc (0.000, 0.500, 0.000)
Sc (0.500, 0.000, 0.000)
Cr (0.000, 0.000, 0.000)
W (0.500, 0.500, 0.500)

---

Computed relative energies in units of eV/atom: <i> 0.000; <ii> 0.161

---

<i>
Y2ScCr: relaxed, PBE.

* magnetization: 3.3 μB per formula unit

Unit cell a=7.203 b=7.211 c=3.933 alpha=90.00 beta=90.00 gamma=90.00
Sites, in units of the cell vectors:
Y (0.250, 0.250, 0.000)
Y (0.250, 0.750, 0.000)
Y (0.750, 0.250, 0.000)
Y (0.750, 0.750, 0.000)
Sc (0.000, 0.000, 0.500)
Sc (0.500, 0.500, 0.500)
Cr (0.000, 0.500, 0.500)
Cr (0.500, 0.000, 0.500)

---

<ii>
Y2ScCr: relaxed, PBE.

* magnetization: 3.0 μB per formula unit

Unit cell a=8.258 b=8.258 c=6.286 alpha=90.00 beta=90.00 gamma=90.00
Sites, in units of the cell vectors:
Y (0.207, 0.250, 0.125)
Y (0.250, 0.707, 0.375)
Y (0.250, 0.793, 0.875)
Y (0.293, 0.250, 0.625)
Y (0.707, 0.750, 0.625)
Y (0.750, 0.207, 0.875)
Y (0.750, 0.293, 0.375)
Y (0.793, 0.750, 0.125)
Sc (0.000, 0.000, 0.500)
Sc (0.000, 0.500, 0.750)
Sc (0.500, 0.000, 0.250)
Sc (0.500, 0.500, 0.000)
Cr (0.000, 0.000, 0.000)
Cr (0.000, 0.500, 0.250)
Cr (0.500, 0.000, 0.750)
Cr (0.500, 0.500, 0.500)

---

Computed relative energies in units of eV/atom: <i> 0.000; <ii> 0.284

---

<i>
Y2ScCr: relaxed, PBE.

* magnetization: 4.1 μB per formula unit

Unit cell a=3.605 b=3.605 c=7.965 alpha=90.00 beta=90.00 gamma=90.00
Sites, in units of the cell vectors:
Y (0.000, 0.000, 0.217)
Y (0.000, 0.000, 0.783)
Sc (0.500, 0.500, 0.500)
Cr (0.500, 0.500, 0.000)

---

<ii>
Y2ScCr: relaxed, PBE.

* magnetization: 2.4 μB per formula unit

Unit cell a=4.896 b=4.896 c=8.476 alpha=90.00 beta=90.00 gamma=90.00
Sites, in units of the cell vectors:
Y (0.000, 0.000, 0.000)
Y (0.000, 0.500, 0.250)
Y (0.500, 0.000, 0.750)
Y (0.500, 0.500, 0.500)
Sc (0.000, 0.000, 0.500)
Sc (0.500, 0.500, 0.000)
Cr (0.000, 0.500, 0.750)
Cr (0.500, 0.000, 0.250)

---

Computed relative energies in units of eV/atom: <i> 0.000; <ii> 0.084

---

<i>
Y2ScCr: relaxed, PBE.

* magnetization: 2.6 μB per formula unit

Unit cell a=7.397 b=7.397 c=7.397 alpha=90.00 beta=90.00 gamma=90.00
Sites, in units of the cell vectors:
Y (0.000, 0.000, 0.000)
Y (0.000, 0.500, 0.500)
Y (0.250, 0.250, 0.250)
Y (0.250, 0.750, 0.750)
Y (0.500, 0.000, 0.500)
Y (0.500, 0.500, 0.000)
Y (0.750, 0.250, 0.750)
Y (0.750, 0.750, 0.250)
Sc (0.250, 0.250, 0.750)
Sc (0.250, 0.750, 0.250)
Sc (0.750, 0.250, 0.250)
Sc (0.750, 0.750, 0.750)
Cr (0.000, 0.000, 0.500)
Cr (0.000, 0.500, 0.000)
Cr (0.500, 0.000, 0.000)
Cr (0.500, 0.500, 0.500)

---

<ii>
Y2ScCr: relaxed, PBE.

* magnetization: 3.4 μB per formula unit

Unit cell a=3.418 b=3.418 c=30.836 alpha=90.00 beta=90.00 gamma=120.00
Sites, in units of the cell vectors:
Y (0.000, 0.000, 0.242)
Y (0.000, 0.000, 0.758)
Y (0.333, 0.667, 0.425)
Y (0.333, 0.667, 0.909)
Y (0.667, 0.333, 0.091)
Y (0.667, 0.333, 0.575)
Sc (0.000, 0.000, 0.000)
Sc (0.333, 0.667, 0.667)
Sc (0.667, 0.333, 0.333)
Cr (0.000, 0.000, 0.500)
Cr (0.333, 0.667, 0.167)
Cr (0.667, 0.333, 0.833)

---

Computed relative energies in units of eV/atom: <i> 0.000; <ii> 0.045

---

<i>
Y2ScCr: relaxed, PBE.

* magnetization: 3.2 μB per formula unit

Unit cell a=3.412 b=3.412 c=30.893 alpha=90.00 beta=90.00 gamma=120.00
Sites, in units of the cell vectors:
Y (0.000, 0.000, 0.000)
Y (0.000, 0.000, 0.235)
Y (0.333, 0.667, 0.667)
Y (0.333, 0.667, 0.901)
Y (0.667, 0.333, 0.333)
Y (0.667, 0.333, 0.568)
Sc (0.000, 0.000, 0.476)
Sc (0.333, 0.667, 0.143)
Sc (0.667, 0.333, 0.809)
Cr (0.000, 0.000, 0.741)
Cr (0.333, 0.667, 0.408)
Cr (0.667, 0.333, 0.075)

---

<ii>
Y2ScCr: relaxed, PBE.

* magnetization: 2.8 μB per formula unit

Unit cell a=7.397 b=7.397 c=7.397 alpha=90.00 beta=90.00 gamma=90.00
Sites, in units of the cell vectors:
Y (0.250, 0.250, 0.250)
Y (0.250, 0.250, 0.750)
Y (0.250, 0.750, 0.250)
Y (0.250, 0.750, 0.750)
Y (0.750, 0.250, 0.250)
Y (0.750, 0.250, 0.750)
Y (0.750, 0.750, 0.250)
Y (0.750, 0.750, 0.750)
Sc (0.000, 0.000, 0.000)
Sc (0.000, 0.500, 0.500)
Sc (0.500, 0.000, 0.500)
Sc (0.500, 0.500, 0.000)
Cr (0.000, 0.000, 0.500)
Cr (0.000, 0.500, 0.000)
Cr (0.500, 0.000, 0.000)
Cr (0.500, 0.500, 0.500)

---

Computed relative energies in units of eV/atom: <i> 0.101; <ii> 0.000